#a
Nd2In3Ga3 after structural relaxation, computed with GGA-PBE.

Lattice parameters (Å, degrees): 6.5855 4.8824 6.6979 90.00 118.85 90.00
Space group Pm (No. 6)
Unique sites:
Nd 0.0000 0.0000 0.0000 (multiplicity 1)
Nd 0.3359 0.5000 0.7002 (multiplicity 1)
In 0.3639 0.5000 0.2048 (multiplicity 1)
In 0.5234 0.0000 0.5062 (multiplicity 1)
In 0.8326 0.5000 0.2096 (multiplicity 1)
Ga 0.5304 0.0000 0.0548 (multiplicity 1)
Ga 0.8260 0.5000 0.6537 (multiplicity 1)
Ga 0.9702 0.0000 0.4994 (multiplicity 1)


#b
Nd2In3Ga3 after structural relaxation, computed with GGA-PBE.

Lattice parameters (Å, degrees): 6.7016 6.7016 4.8749 90.00 90.00 120.00
Space group P-6m2 (No. 187)
Unique sites:
Nd 0.0000 0.0000 0.0000 (multiplicity 1)
Nd 0.3333 0.6667 0.5000 (multiplicity 1)
In 0.3592 0.1796 0.5000 (multiplicity 3)
Ga 0.5209 0.0418 0.0000 (multiplicity 3)


Which of them is most stable? Easy: #a.


#a
Zn2InGaO5 after structural relaxation, computed with GGA-PBE.

Lattice parameters (Å, degrees): 17.3330 3.3125 23.1369 90.00 104.52 90.00
Space group Cm (No. 8)
Unique sites:
Zn 0.0000 0.0000 0.0000 (multiplicity 2)
Zn 0.0018 0.5000 0.5007 (multiplicity 2)
Zn 0.0125 0.5000 0.8828 (multiplicity 2)
Zn 0.0745 0.5000 0.3846 (multiplicity 2)
Zn 0.0892 0.5000 0.1123 (multiplicity 2)
Zn 0.1530 0.5000 0.6167 (multiplicity 2)
Zn 0.2414 0.0000 0.3913 (multiplicity 2)
Zn 0.3155 0.0000 0.6164 (multiplicity 2)
Zn 0.3329 0.0000 0.9998 (multiplicity 2)
Zn 0.3346 0.5000 0.5020 (multiplicity 2)
Zn 0.3533 0.5000 0.8922 (multiplicity 2)
Zn 0.4257 0.5000 0.1112 (multiplicity 2)
In 0.0793 0.5000 0.7436 (multiplicity 2)
In 0.0831 0.0000 0.2486 (multiplicity 2)
In 0.2478 0.5000 0.2533 (multiplicity 2)
In 0.2524 0.0000 0.7548 (multiplicity 2)
In 0.4151 0.5000 0.7504 (multiplicity 2)
In 0.4179 0.0000 0.2472 (multiplicity 2)
Ga 0.1653 0.5000 0.9997 (multiplicity 2)
Ga 0.1675 0.0000 0.5002 (multiplicity 2)
Ga 0.1824 0.0000 0.8819 (multiplicity 2)
Ga 0.2629 0.0000 0.1174 (multiplicity 2)
Ga 0.4040 0.5000 0.3819 (multiplicity 2)
Ga 0.4795 0.5000 0.6089 (multiplicity 2)
O 0.0082 0.0000 0.6967 (multiplicity 2)
O 0.0300 0.0000 0.0956 (multiplicity 2)
O 0.0329 0.5000 0.6036 (multiplicity 2)
O 0.0426 0.5000 0.2965 (multiplicity 2)
O 0.0641 0.5000 0.0055 (multiplicity 2)
O 0.1137 0.5000 0.4993 (multiplicity 2)
O 0.1250 0.5000 0.2025 (multiplicity 2)
O 0.1337 0.0000 0.4090 (multiplicity 2)
O 0.1410 0.5000 0.9061 (multiplicity 2)
O 0.1494 0.0000 0.7987 (multiplicity 2)
O 0.1804 0.5000 0.7056 (multiplicity 2)
O 0.1970 0.0000 0.5901 (multiplicity 2)
O 0.2070 0.5000 0.0971 (multiplicity 2)
O 0.2108 0.0000 0.3003 (multiplicity 2)
O 0.2161 0.0000 0.0023 (multiplicity 2)
O 0.2723 0.0000 0.4941 (multiplicity 2)
O 0.2883 0.0000 0.2020 (multiplicity 2)
O 0.2909 0.0000 0.9022 (multiplicity 2)
O 0.3105 0.5000 0.4044 (multiplicity 2)
O 0.3228 0.5000 0.8010 (multiplicity 2)
O 0.3435 0.0000 0.7044 (multiplicity 2)
O 0.3586 0.0000 0.0971 (multiplicity 2)
O 0.3681 0.5000 0.5976 (multiplicity 2)
O 0.3774 0.5000 0.2979 (multiplicity 2)
O 0.3861 0.5000 0.9953 (multiplicity 2)
O 0.4516 0.5000 0.5135 (multiplicity 2)
O 0.4549 0.5000 0.2018 (multiplicity 2)
O 0.4606 0.0000 0.4020 (multiplicity 2)
O 0.4712 0.5000 0.9055 (multiplicity 2)
O 0.4902 0.0000 0.7944 (multiplicity 2)


#b
Zn2InGaO5 after structural relaxation, computed with GGA-PBE.

Lattice parameters (Å, degrees): 3.3070 3.3070 22.5394 90.00 90.00 120.00
Space group P6_3/mmc (No. 194)
Unique sites:
Zn 0.3333 0.6667 0.1353 (multiplicity 4)
In 0.0000 0.0000 0.0000 (multiplicity 2)
Ga 0.0000 0.0000 0.2500 (multiplicity 2)
O 0.0000 0.0000 0.1622 (multiplicity 4)
O 0.3333 0.6667 0.0482 (multiplicity 4)
O 0.3333 0.6667 0.2500 (multiplicity 2)


Which of them is most stable? Easy: #b.


#a
Zn4InGaO7 after structural relaxation, computed with GGA-PBE.

Lattice parameters (Å, degrees): 3.2947 3.2947 32.9898 90.00 90.00 120.00
Space group P6_3/mmc (No. 194)
Unique sites:
Zn 0.0000 0.0000 0.1712 (multiplicity 4)
Zn 0.3333 0.6667 0.0926 (multiplicity 4)
In 0.0000 0.0000 0.0000 (multiplicity 2)
Ga 0.3333 0.6667 0.2500 (multiplicity 2)
O 0.0000 0.0000 0.1112 (multiplicity 4)
O 0.0000 0.0000 0.2500 (multiplicity 2)
O 0.3333 0.6667 0.0331 (multiplicity 4)
O 0.3333 0.6667 0.1899 (multiplicity 4)


#b
Zn4InGaO7 after structural relaxation, computed with GGA-PBE.

Lattice parameters (Å, degrees): 5.7364 8.7631 33.0440 95.64 90.11 109.09
Space group P1 (No. 1)
Unique sites:
Zn 0.0000 0.0000 0.0000 (multiplicity 1)
Zn 0.0013 0.6707 0.6624 (multiplicity 1)
Zn 0.0255 0.3744 0.4246 (multiplicity 1)
Zn 0.0344 0.0642 0.1602 (multiplicity 1)
Zn 0.0525 0.4415 0.5786 (multiplicity 1)
Zn 0.1230 0.5800 0.9321 (multiplicity 1)
Zn 0.1433 0.9364 0.3452 (multiplicity 1)
Zn 0.1560 0.6350 0.0865 (multiplicity 1)
Zn 0.1991 0.0676 0.6602 (multiplicity 1)
Zn 0.2014 0.3986 0.9988 (multiplicity 1)
Zn 0.2235 0.7724 0.4251 (multiplicity 1)
Zn 0.2365 0.4573 0.1580 (multiplicity 1)
Zn 0.2543 0.8386 0.5828 (multiplicity 1)
Zn 0.3257 0.9759 0.9274 (multiplicity 1)
Zn 0.3469 0.0282 0.0840 (multiplicity 1)
Zn 0.3478 0.3438 0.3457 (multiplicity 1)
Zn 0.3699 0.4045 0.5007 (multiplicity 1)
Zn 0.3779 0.7512 0.8529 (multiplicity 1)
Zn 0.4021 0.8032 0.0081 (multiplicity 1)
Zn 0.4244 0.1746 0.4231 (multiplicity 1)
Zn 0.4339 0.8643 0.1620 (multiplicity 1)
Zn 0.5216 0.3727 0.9212 (multiplicity 1)
Zn 0.5374 0.7372 0.3469 (multiplicity 1)
Zn 0.5723 0.8077 0.5052 (multiplicity 1)
Zn 0.5758 0.1437 0.8434 (multiplicity 1)
Zn 0.5967 0.8661 0.6610 (multiplicity 1)
Zn 0.6036 0.2012 0.9984 (multiplicity 1)
Zn 0.6272 0.5748 0.4269 (multiplicity 1)
Zn 0.6399 0.2617 0.1577 (multiplicity 1)
Zn 0.6525 0.6386 0.5808 (multiplicity 1)
Zn 0.7193 0.7746 0.9301 (multiplicity 1)
Zn 0.7493 0.8353 0.0863 (multiplicity 1)
Zn 0.7740 0.2098 0.5033 (multiplicity 1)
Zn 0.8036 0.6075 0.0102 (multiplicity 1)
Zn 0.8057 0.2716 0.6591 (multiplicity 1)
Zn 0.8320 0.6600 0.1604 (multiplicity 1)
Zn 0.8465 0.0367 0.5837 (multiplicity 1)
Zn 0.9251 0.1753 0.9211 (multiplicity 1)
Zn 0.9378 0.5408 0.3454 (multiplicity 1)
Zn 0.9869 0.9491 0.8463 (multiplicity 1)
In 0.0850 0.5113 0.7548 (multiplicity 1)
In 0.1906 0.6989 0.2526 (multiplicity 1)
In 0.2890 0.9066 0.7537 (multiplicity 1)
In 0.3871 0.1019 0.2524 (multiplicity 1)
In 0.4936 0.3070 0.7522 (multiplicity 1)
In 0.5897 0.4996 0.2527 (multiplicity 1)
In 0.6888 0.7116 0.7587 (multiplicity 1)
In 0.7897 0.8979 0.2527 (multiplicity 1)
In 0.8874 0.1043 0.7498 (multiplicity 1)
In 0.9913 0.3023 0.2522 (multiplicity 1)
Ga 0.1695 0.3437 0.8412 (multiplicity 1)
Ga 0.1695 0.0063 0.5037 (multiplicity 1)
Ga 0.4004 0.4704 0.6606 (multiplicity 1)
Ga 0.4494 0.2383 0.5783 (multiplicity 1)
Ga 0.5505 0.4275 0.0782 (multiplicity 1)
Ga 0.7456 0.1402 0.3455 (multiplicity 1)
Ga 0.7767 0.5505 0.8515 (multiplicity 1)
Ga 0.8254 0.9784 0.4282 (multiplicity 1)
Ga 0.9513 0.2263 0.0765 (multiplicity 1)
Ga 0.9698 0.6081 0.5032 (multiplicity 1)
O 0.0007 0.3360 0.3623 (multiplicity 1)
O 0.0035 0.6918 0.7213 (multiplicity 1)
O 0.0118 0.0261 0.0711 (multiplicity 1)
O 0.0373 0.4160 0.5072 (multiplicity 1)
O 0.0436 0.0882 0.2215 (multiplicity 1)
O 0.0842 0.4660 0.6427 (multiplicity 1)
O 0.0965 0.5324 0.8517 (multiplicity 1)
O 0.1245 0.6003 0.9951 (multiplicity 1)
O 0.1280 0.9153 0.2865 (multiplicity 1)
O 0.1520 0.9831 0.4384 (multiplicity 1)
O 0.1629 0.3183 0.7837 (multiplicity 1)
O 0.1667 0.6575 0.1476 (multiplicity 1)
O 0.1855 0.0397 0.5680 (multiplicity 1)
O 0.1989 0.3760 0.9352 (multiplicity 1)
O 0.2077 0.7466 0.3641 (multiplicity 1)
O 0.2185 0.4252 0.0772 (multiplicity 1)
O 0.2216 0.0965 0.7189 (multiplicity 1)
O 0.2278 0.8097 0.5017 (multiplicity 1)
O 0.2528 0.4861 0.2199 (multiplicity 1)
O 0.2598 0.8610 0.6433 (multiplicity 1)
O 0.3205 0.9641 0.8609 (multiplicity 1)
O 0.3306 0.3142 0.2865 (multiplicity 1)
O 0.3368 0.9960 0.9960 (multiplicity 1)
O 0.3553 0.7196 0.7864 (multiplicity 1)
O 0.3577 0.3749 0.4370 (multiplicity 1)
O 0.3633 0.0552 0.1461 (multiplicity 1)
O 0.3850 0.7662 0.9170 (multiplicity 1)
O 0.3868 0.4272 0.5703 (multiplicity 1)
O 0.4130 0.4909 0.7173 (multiplicity 1)
O 0.4142 0.8238 0.0702 (multiplicity 1)
O 0.4300 0.1987 0.5085 (multiplicity 1)
O 0.4312 0.1450 0.3615 (multiplicity 1)
O 0.4513 0.8904 0.2229 (multiplicity 1)
O 0.4586 0.2719 0.6400 (multiplicity 1)
O 0.4926 0.3544 0.8550 (multiplicity 1)
O 0.5316 0.7153 0.2875 (multiplicity 1)
O 0.5334 0.4038 0.0155 (multiplicity 1)
O 0.5685 0.4549 0.1402 (multiplicity 1)
O 0.5702 0.1222 0.7831 (multiplicity 1)
O 0.5716 0.7897 0.4353 (multiplicity 1)
O 0.5827 0.8333 0.5683 (multiplicity 1)
O 0.6046 0.1893 0.9354 (multiplicity 1)
O 0.6101 0.8861 0.7200 (multiplicity 1)
O 0.6134 0.5482 0.3649 (multiplicity 1)
O 0.6222 0.2309 0.0771 (multiplicity 1)
O 0.6459 0.6057 0.5008 (multiplicity 1)
O 0.6509 0.2853 0.2202 (multiplicity 1)
O 0.6532 0.6494 0.6435 (multiplicity 1)
O 0.7223 0.7465 0.8509 (multiplicity 1)
O 0.7247 0.7893 0.9934 (multiplicity 1)
O 0.7322 0.1148 0.2892 (multiplicity 1)
O 0.7528 0.5147 0.7877 (multiplicity 1)
O 0.7586 0.1735 0.4367 (multiplicity 1)
O 0.7630 0.8566 0.1473 (multiplicity 1)
O 0.7695 0.2333 0.5724 (multiplicity 1)
O 0.7913 0.5704 0.9133 (multiplicity 1)
O 0.8136 0.6257 0.0739 (multiplicity 1)
O 0.8172 0.9627 0.3667 (multiplicity 1)
O 0.8203 0.2994 0.7185 (multiplicity 1)
O 0.8484 0.6850 0.2213 (multiplicity 1)
O 0.8501 0.0072 0.4986 (multiplicity 1)
O 0.8605 0.0607 0.6443 (multiplicity 1)
O 0.9248 0.1653 0.8577 (multiplicity 1)
O 0.9314 0.5126 0.2863 (multiplicity 1)
O 0.9377 0.2088 0.0147 (multiplicity 1)
O 0.9664 0.2509 0.1396 (multiplicity 1)
O 0.9676 0.5786 0.4410 (multiplicity 1)
O 0.9701 0.9308 0.7845 (multiplicity 1)
O 0.9832 0.6383 0.5657 (multiplicity 1)
O 0.9864 0.9820 0.9326 (multiplicity 1)


Which of them is most stable? Easy: #a.


#a
InGa2Pd2 after structural relaxation, computed with GGA-PBE.

Lattice parameters (Å, degrees): 4.1931 4.1931 10.7667 90.00 90.00 90.00
Space group I4/mmm (No. 139)
Unique sites:
In 0.0000 0.0000 0.0000 (multiplicity 2)
Ga 0.0000 0.0000 0.3836 (multiplicity 4)
Pd 0.0000 0.5000 0.2500 (multiplicity 4)


#b
InGa2Pd2 after structural relaxation, computed with GGA-PBE.

Lattice parameters (Å, degrees): 3.7138 3.7138 12.8448 90.00 90.00 90.00
Space group I4/mmm (No. 139)
Unique sites:
In 0.0000 0.0000 0.0000 (multiplicity 2)
Ga 0.0000 0.5000 0.2500 (multiplicity 4)
Pd 0.0000 0.0000 0.3911 (multiplicity 4)


Which of them is most stable? Easy: #b.


#a
TmInGaTe3 after structural relaxation, computed with GGA-PBE.

Lattice parameters (Å, degrees): 14.6549 4.3566 12.4813 90.00 90.00 90.00
Space group Pnma (No. 62)
Unique sites:
Tm 0.0265 0.2500 0.1416 (multiplicity 4)
In 0.2328 0.2500 0.4848 (multiplicity 4)
Ga 0.0424 0.7500 0.3995 (multiplicity 4)
Te 0.0754 0.7500 0.6361 (multiplicity 4)
Te 0.1118 0.2500 0.9221 (multiplicity 4)
Te 0.1555 0.7500 0.2207 (multiplicity 4)


#b
TmInGaTe3 after structural relaxation, computed with GGA-PBE.

Lattice parameters (Å, degrees): 4.4878 14.9780 11.4047 90.00 90.00 90.00
Space group Cmcm (No. 63)
Unique sites:
Tm 0.0000 0.0000 0.0000 (multiplicity 4)
In 0.0000 0.2470 0.2500 (multiplicity 4)
Ga 0.0000 0.4643 0.7500 (multiplicity 4)
Te 0.0000 0.0792 0.7500 (multiplicity 4)
Te 0.0000 0.3624 0.5483 (multiplicity 8)


Which of them is most stable? Easy: #a.


#a
ZrInGa after structural relaxation, computed with GGA-PBE.

Lattice parameters (Å, degrees): 6.7109 6.7109 6.7109 90.00 90.00 90.00
Space group F-43m (No. 216)
Unique sites:
Zr 0.0000 0.0000 0.0000 (multiplicity 4)
In 0.2500 0.2500 0.2500 (multiplicity 4)
Ga 0.2500 0.2500 0.7500 (multiplicity 4)


#b
ZrInGa after structural relaxation, computed with GGA-PBE.

Lattice parameters (Å, degrees): 6.6985 6.6985 6.6985 90.00 90.00 90.00
Space group F-43m (No. 216)
Unique sites:
Zr 0.0000 0.0000 0.0000 (multiplicity 4)
In 0.2500 0.2500 0.7500 (multiplicity 4)
Ga 0.0000 0.0000 0.5000 (multiplicity 4)


Which of them is most stable? Easy: #a.